Entry 1:
{
  "formula": "NaYAg2Cl6",
  "functional": "PBE",
  "state": "relaxed",
  "energy_ev_per_cell": -39.03,
  "magmom_total_mub_per_atom": 0.0000,
  "e_form_raw_ev_per_atom": -1.4465,
  "dos_at_fermi_per_ev_fu": 0.00,
  "lattice_angstrom": [[6.9257, 0.0000, 0.0000], [-3.4603, 6.0068, 0.0000], [-3.4596, -1.9962, 6.3033]],
  "species": ["Na", "Y", "Ag", "Ag", "Cl", "Cl", "Cl", "Cl", "Cl", "Cl"],
  "fractional_positions": [[0.0000, 0.0000, 0.0000], [0.9909, 0.4955, 0.4858], [0.5949, 0.2974, 0.8916], [0.6013, 0.8015, 0.4025], [0.1152, 0.4067, 0.2209], [0.1195, 0.2352, 0.7102], [0.4754, 0.8841, 0.7100], [0.5131, 0.1073, 0.2214], [0.8148, 0.7090, 0.2215], [0.8270, 0.5918, 0.7110]]
}

Entry 2:
{
  "formula": "Ce12InRh7",
  "functional": "PBE",
  "state": "relaxed",
  "energy_ev_per_cell": -134.94,
  "e_form_ev_per_fu": -9.5,
  "magmom_total_mub_per_atom": 0.0000,
  "dos_at_fermi_per_ev_fu": 38.05,
  "lattice_angstrom": [[6.8636, 3.9627, 2.7298], [-6.8636, 3.9627, 2.7298], [0.0000, -7.9254, 2.7298]],
  "species": ["Ce", "Ce", "Ce", "Ce", "Ce", "Ce", "Ce", "Ce", "Ce", "Ce", "Ce", "Ce", "In", "Rh", "Rh", "Rh", "Rh", "Rh", "Rh", "Rh"],
  "fractional_positions": [[0.1025, 0.4309, 0.3144], [0.1865, 0.3631, 0.6971], [0.3029, 0.8135, 0.6369], [0.3143, 0.1025, 0.4309], [0.3631, 0.6971, 0.1865], [0.4309, 0.3144, 0.1025], [0.5691, 0.6856, 0.8975], [0.6369, 0.3029, 0.8135], [0.6856, 0.8975, 0.5691], [0.6971, 0.1865, 0.3631], [0.8135, 0.6369, 0.3029], [0.8975, 0.5691, 0.6857], [0.0000, 0.0000, 0.0000], [0.0141, 0.3140, 0.9150], [0.0850, 0.9859, 0.6860], [0.3140, 0.9150, 0.0141], [0.5000, 0.5000, 0.5000], [0.6860, 0.0850, 0.9859], [0.9150, 0.0141, 0.3140], [0.9859, 0.6860, 0.0850]]
}

Please write out number 2 again, unchanged.
{
  "formula": "Ce12InRh7",
  "functional": "PBE",
  "state": "relaxed",
  "energy_ev_per_cell": -134.94,
  "e_form_ev_per_fu": -9.5,
  "magmom_total_mub_per_atom": 0.0000,
  "dos_at_fermi_per_ev_fu": 38.05,
  "lattice_angstrom": [[6.8636, 3.9627, 2.7298], [-6.8636, 3.9627, 2.7298], [0.0000, -7.9254, 2.7298]],
  "species": ["Ce", "Ce", "Ce", "Ce", "Ce", "Ce", "Ce", "Ce", "Ce", "Ce", "Ce", "Ce", "In", "Rh", "Rh", "Rh", "Rh", "Rh", "Rh", "Rh"],
  "fractional_positions": [[0.1025, 0.4309, 0.3144], [0.1865, 0.3631, 0.6971], [0.3029, 0.8135, 0.6369], [0.3143, 0.1025, 0.4309], [0.3631, 0.6971, 0.1865], [0.4309, 0.3144, 0.1025], [0.5691, 0.6856, 0.8975], [0.6369, 0.3029, 0.8135], [0.6856, 0.8975, 0.5691], [0.6971, 0.1865, 0.3631], [0.8135, 0.6369, 0.3029], [0.8975, 0.5691, 0.6857], [0.0000, 0.0000, 0.0000], [0.0141, 0.3140, 0.9150], [0.0850, 0.9859, 0.6860], [0.3140, 0.9150, 0.0141], [0.5000, 0.5000, 0.5000], [0.6860, 0.0850, 0.9859], [0.9150, 0.0141, 0.3140], [0.9859, 0.6860, 0.0850]]
}